Compound: Tm5TcTe2
Source: the Alexandria database
Functional: GGA-PBE
Structure: optimized geometry

CIF file:
```
data_Tm5TcTe2
_symmetry_space_group_name_H-M 'C m c m'
_symmetry_Int_Tables_number 63
_symmetry_space_group_name_Hall '-C 2c 2'
_cell_length_a 5.489
_cell_length_b 15.837
_cell_length_c 13.736
_cell_angle_alpha 90.00
_cell_angle_beta 90.00
_cell_angle_gamma 90.00
loop_
_atom_site_label
_atom_site_fract_x
_atom_site_fract_y
_atom_site_fract_z
Tm1 0.000 0.047 0.110
Tm2 0.000 0.268 0.109
Tm3 0.000 0.324 0.750
Tc1 0.000 0.151 0.250
Te1 0.000 0.158 0.585
```

Summary:
The calculation puts the electronic total energy at -5.15 eV per atom. For the uncorrected formation energy, the calculation gives -214 kJ/mol of formula units.

Compound: Tm2TcTe
Source: the Alexandria database
Functional: GGA-PBE
Structure: optimized geometry

CIF file:
```
data_Tm2TcTe
_symmetry_space_group_name_H-M 'P 4/m m m'
_symmetry_Int_Tables_number 123
_symmetry_space_group_name_Hall '-P 4 2'
_cell_length_a 3.655
_cell_length_b 3.655
_cell_length_c 6.849
_cell_angle_alpha 90.00
_cell_angle_beta 90.00
_cell_angle_gamma 90.00
loop_
_atom_site_label
_atom_site_fract_x
_atom_site_fract_y
_atom_site_fract_z
Tm1 0.000 0.000 0.227
Tc1 0.500 0.500 0.000
Te1 0.500 0.500 0.500
```

Summary:
The calculation puts the electronic total energy at -6.14 eV per atom. For the uncorrected formation energy, the calculation gives -203 kJ/mol of formula units.

Compound: UTc2Te
Source: the Alexandria database
Functional: GGA-PBE
Structure: optimized geometry

CIF file:
```
data_UTc2Te
_symmetry_space_group_name_H-M 'P 4/m m m'
_symmetry_Int_Tables_number 123
_symmetry_space_group_name_Hall '-P 4 2'
_cell_length_a 4.430
_cell_length_b 4.430
_cell_length_c 3.748
_cell_angle_alpha 90.00
_cell_angle_beta 90.00
_cell_angle_gamma 90.00
loop_
_atom_site_label
_atom_site_fract_x
_atom_site_fract_y
_atom_site_fract_z
U1 0.000 0.000 0.000
Tc1 0.000 0.500 0.500
Te1 0.500 0.500 0.000
```

Summary:
The calculation puts the electronic total energy at -8.72 eV per atom. For the uncorrected formation energy, the calculation gives 26 kJ/mol of formula units.

Compound: VTcTe2
Source: the Alexandria database
Functional: GGA-PBE
Structure: optimized geometry

CIF file:
```
data_VTcTe2
_symmetry_space_group_name_H-M 'I -4 2 d'
_symmetry_Int_Tables_number 122
_symmetry_space_group_name_Hall 'I -4 2bw'
_cell_length_a 5.985
_cell_length_b 5.985
_cell_length_c 12.482
_cell_angle_alpha 90.00
_cell_angle_beta 90.00
_cell_angle_gamma 90.00
loop_
_atom_site_label
_atom_site_fract_x
_atom_site_fract_y
_atom_site_fract_z
V1 0.000 0.000 0.000
Tc1 0.000 0.000 0.500
Te1 0.238 0.250 0.625
```

Summary:
The calculation puts the electronic total energy at -6.01 eV per atom. As for the energy relative to the lowest polymorph listed for this composition: 191 meV per atom. For the uncorrected formation energy, the calculation gives 168 kJ/mol of formula units.